# La2Si2P PBE relaxed
# **Magnetic moment**: 0.000 μB per atom
# **Uncorrected formation energy**: -80.7 meV per atom
# **Energy**: -5.3029 eV per atom
# **Energy above the most stable polymorph in this dataset**: 646 meV per atom
data_La2Si2P
_chemical_formula_sum 'La4 Si4 P2'
_symmetry_space_group_name_H-M 'P 4/n m m'
_symmetry_Int_Tables_number 129
_cell_length_a 4.302
_cell_length_b 4.302
_cell_length_c 14.606
_cell_angle_alpha 90.00
_cell_angle_beta 90.00
_cell_angle_gamma 90.00
loop_
_symmetry_equiv_pos_as_xyz
'x,y,z'
'-x,-y,-z'
'-y+1/2,x,z'
'y+1/2,-x,-z'
'-x+1/2,-y+1/2,z'
'x+1/2,y+1/2,-z'
'y,-x+1/2,z'
'-y,x+1/2,-z'
'x+1/2,-y,-z'
'-x+1/2,y,z'
'-y,-x,-z'
'y,x,z'
'-x,y+1/2,-z'
'x,-y+1/2,z'
'y+1/2,x+1/2,-z'
'-y+1/2,-x+1/2,z'
loop_
_atom_site_label
_atom_site_fract_x
_atom_site_fract_y
_atom_site_fract_z
La1 0.250 0.250 0.144
La2 0.250 0.750 0.500
Si1 0.250 0.250 0.345
Si2 0.250 0.750 0.000
P1 0.250 0.250 0.658

=====

# La2SiP2 PBE relaxed
# **Magnetic moment**: 0.000 μB per atom
# **Uncorrected formation energy**: -918.3 meV per atom
# **Energy**: -6.1378 eV per atom
data_La2SiP2
_chemical_formula_sum 'La4 Si2 P4'
_symmetry_space_group_name_H-M 'P 4/m b m'
_symmetry_Int_Tables_number 127
_symmetry_space_group_name_Hall '-P 4 2ab'
_cell_length_a 7.481
_cell_length_b 7.481
_cell_length_c 4.156
_cell_angle_alpha 90.00
_cell_angle_beta 90.00
_cell_angle_gamma 90.00
loop_
_atom_site_label
_atom_site_fract_x
_atom_site_fract_y
_atom_site_fract_z
La1 0.159 0.341 0.000
Si1 0.000 0.000 0.500
P1 0.156 0.656 0.500